Computed, not measured: CdTe2Pb after structural relaxation at the PBE-GGA level of DFT.

Cell: 6.973 6.973 6.973 Å, 142.70 142.70 53.78°
Fractional positions:
Te (0.000, 0.000, 0.000)
Te (0.250, 0.750, 0.500)
Pb (0.750, 0.250, 0.500)
Cd (0.500, 0.500, 0.000)

Summary:
Space group: I-4m2 (119)
ΔE_f (raw) in eV/f.u.: -0.2